Computed, not measured: a relaxed La3Sm7Dy2 crystal at the PBE-GGA level of DFT.

The structure in POSCAR format:
```
La3Sm7Dy2
1.0
-0.487 6.454 1.484
-0.415 1.927 6.341
11.092 3.534 3.130
Dy Sm La
2 7 3
direct
0.666 0.666 0.001
0.334 0.334 0.999
0.919 0.416 0.250
0.584 0.081 0.750
0.081 0.584 0.750
0.584 0.584 0.750
0.416 0.416 0.250
0.416 0.919 0.250
0.500 0.500 0.500
0.154 0.154 0.539
0.000 0.000 0.000
0.846 0.846 0.461
```

Summary:
As for the symmetry: R-3m, No. 166. The formation enthalpy at 0 K is 0.26 eV/atom. The value obtained for the theoretical density is 6.83 g cm⁻³.